Record 1
# Rb2BaIr, relaxed, DFT PBE
data_Rb2BaIr
_space_group_name_H-M_alt 'I -4 2 d'
_space_group_IT_number 122
_space_group_name_Hall 'I -4 2bw'
_cell_length_a 4.873
_cell_length_b 4.873
_cell_length_c 26.137
_cell_angle_alpha 90.00
_cell_angle_beta 90.00
_cell_angle_gamma 90.00
loop_
_atom_site_label
_atom_site_type_symbol
_atom_site_fract_x
_atom_site_fract_y
_atom_site_fract_z
_atom_site_occupancy
Rb1 Rb 0.225 0.250 0.125 1
Ba1 Ba 0.000 0.000 0.500 1
Ir1 Ir 0.000 0.000 0.000 1
# formation energy: 0.713 eV/atom
# electronic total energy: -2.4669 eV per atom
# ΔE to the lowest computed polymorph: 0 meV/atom

***

Record 2
# Rb2BaIr2, relaxed, DFT PBE
data_Rb2BaIr2
_space_group_name_H-M_alt 'P 4/m b m'
_space_group_IT_number 127
_space_group_name_Hall '-P 4 2ab'
_cell_length_a 7.705
_cell_length_b 7.705
_cell_length_c 5.794
_cell_angle_alpha 90.00
_cell_angle_beta 90.00
_cell_angle_gamma 90.00
loop_
_atom_site_label
_atom_site_type_symbol
_atom_site_fract_x
_atom_site_fract_y
_atom_site_fract_z
_atom_site_occupancy
Rb1 Rb 0.161 0.339 0.000 1
Ba1 Ba 0.000 0.000 0.500 1
Ir1 Ir 0.111 0.611 0.500 1
# formation energy: 0.668 eV/atom
# electronic total energy: -3.6477 eV per atom
# ΔE to the lowest computed polymorph: 0 meV/atom

***

Record 3
# RbBa4Ir, relaxed, DFT PBE
data_RbBa4Ir
_space_group_name_H-M_alt 'I -4'
_space_group_IT_number 82
_cell_length_a 10.297
_cell_length_b 10.297
_cell_length_c 7.134
_cell_angle_alpha 90.00
_cell_angle_beta 90.00
_cell_angle_gamma 90.00
loop_
_space_group_symop_operation_xyz
'x,y,z'
'y,-x,-z'
'-x,-y,z'
'-y,x,-z'
'x+1/2,y+1/2,z+1/2'
'y+1/2,-x+1/2,-z+1/2'
'-x+1/2,-y+1/2,z+1/2'
'-y+1/2,x+1/2,-z+1/2'
loop_
_atom_site_label
_atom_site_type_symbol
_atom_site_fract_x
_atom_site_fract_y
_atom_site_fract_z
_atom_site_occupancy
Rb1 Rb 0.000 0.000 0.000 1
Ba1 Ba 0.103 0.305 0.493 1
Ir1 Ir 0.000 0.500 0.250 1
# formation energy: 0.101 eV/atom
# electronic total energy: -2.8188 eV per atom

***

Record 4
# RbBa3Ir, relaxed, DFT PBE
data_RbBa3Ir
_space_group_name_H-M_alt 'P -1'
_space_group_IT_number 2
_cell_length_a 6.865
_cell_length_b 7.403
_cell_length_c 12.155
_cell_angle_alpha 87.38
_cell_angle_beta 80.50
_cell_angle_gamma 65.84
loop_
_space_group_symop_operation_xyz
'x,y,z'
'-x,-y,-z'
loop_
_atom_site_label
_atom_site_type_symbol
_atom_site_fract_x
_atom_site_fract_y
_atom_site_fract_z
_atom_site_occupancy
Rb1 Rb 0.149 0.190 0.037 1
Ba1 Ba 0.020 0.704 0.590 1
Ba2 Ba 0.352 0.045 0.654 1
Ba3 Ba 0.400 0.571 0.266 1
Ir1 Ir 0.438 0.360 0.485 1
# formation energy: -0.053 eV/atom
# electronic total energy: -3.1723 eV per atom
# ΔE to the lowest computed polymorph: 0 meV/atom

***

Record 5
# Rb2BaIr, relaxed, DFT PBE
data_Rb2BaIr
_space_group_name_H-M_alt 'F m -3 m'
_space_group_IT_number 225
_space_group_name_Hall '-F 4 2 3'
_cell_length_a 8.258
_cell_length_b 8.258
_cell_length_c 8.258
_cell_angle_alpha 90.00
_cell_angle_beta 90.00
_cell_angle_gamma 90.00
loop_
_atom_site_label
_atom_site_type_symbol
_atom_site_fract_x
_atom_site_fract_y
_atom_site_fract_z
_atom_site_occupancy
Rb1 Rb 0.250 0.250 0.250 1
Ba1 Ba 0.000 0.000 0.000 1
Ir1 Ir 0.000 0.000 0.500 1
# formation energy: 0.824 eV/atom
# electronic total energy: -2.3553 eV per atom
# ΔE to the lowest computed polymorph: 112 meV/atom

***

Record 6
# Rb2BaIr2, relaxed, DFT PBE
data_Rb2BaIr2
_space_group_name_H-M_alt 'I 4/m m m'
_space_group_IT_number 139
_space_group_name_Hall '-I 4 2'
_cell_length_a 4.836
_cell_length_b 4.836
_cell_length_c 14.817
_cell_angle_alpha 90.00
_cell_angle_beta 90.00
_cell_angle_gamma 90.00
loop_
_atom_site_label
_atom_site_type_symbol
_atom_site_fract_x
_atom_site_fract_y
_atom_site_fract_z
_atom_site_occupancy
Rb1 Rb 0.000 0.500 0.250 1
Ba1 Ba 0.000 0.000 0.000 1
Ir1 Ir 0.000 0.000 0.420 1
# formation energy: 0.706 eV/atom
# electronic total energy: -3.6099 eV per atom
# ΔE to the lowest computed polymorph: 38 meV/atom

***

Record 7
# RbBa8Ir2, relaxed, DFT PBE
data_RbBa8Ir2
_space_group_name_H-M_alt 'C 1 2/m 1'
_space_group_IT_number 12
_cell_length_a 19.315
_cell_length_b 8.129
_cell_length_c 7.534
_cell_angle_alpha 90.00
_cell_angle_beta 97.86
_cell_angle_gamma 90.00
loop_
_space_group_symop_operation_xyz
'x,y,z'
'-x,-y,-z'
'-x,y,-z'
'x,-y,z'
'x+1/2,y+1/2,z'
'-x+1/2,-y+1/2,-z'
'-x+1/2,y+1/2,-z'
'x+1/2,-y+1/2,z'
loop_
_atom_site_label
_atom_site_type_symbol
_atom_site_fract_x
_atom_site_fract_y
_atom_site_fract_z
_atom_site_occupancy
Rb1 Rb 0.000 0.000 0.000 1
Ba1 Ba 0.082 0.500 0.815 1
Ba2 Ba 0.151 0.248 0.398 1
Ba3 Ba 0.213 0.000 0.922 1
Ir1 Ir 0.225 0.500 0.681 1
# formation energy: -0.035 eV/atom
# electronic total energy: -3.1329 eV per atom

***

Record 8
# RbBa3Ir, relaxed, DFT PBE
data_RbBa3Ir
_space_group_name_H-M_alt 'P m -3 m'
_space_group_IT_number 221
_space_group_name_Hall '-P 4 2 3'
_cell_length_a 6.358
_cell_length_b 6.358
_cell_length_c 6.358
_cell_angle_alpha 90.00
_cell_angle_beta 90.00
_cell_angle_gamma 90.00
loop_
_atom_site_label
_atom_site_type_symbol
_atom_site_fract_x
_atom_site_fract_y
_atom_site_fract_z
_atom_site_occupancy
Rb1 Rb 0.000 0.000 0.000 1
Ba1 Ba 0.000 0.500 0.500 1
Ir1 Ir 0.500 0.500 0.500 1
# formation energy: -0.026 eV/atom
# electronic total energy: -3.1450 eV per atom
# ΔE to the lowest computed polymorph: 27 meV/atom